Density functional theory data (PBEsol) for crystalline Na2Ti12O25 at its relaxed geometry.

Cell and atoms, written as POSCAR:
```
Na2Ti12O25
1.0
7.462 0.000 0.000
3.728 9.255 0.000
0.006 3.990 13.969
Na Ti O
4 24 50
direct
0.000 0.000 0.000
0.099 0.303 0.465
0.498 0.005 0.003
0.701 0.598 0.921
0.011 0.980 0.613
0.032 0.937 0.371
0.092 0.318 0.086
0.105 0.292 0.841
0.168 0.666 0.558
0.188 0.624 0.316
0.259 0.987 0.788
0.297 0.909 0.206
0.333 0.335 0.256
0.367 0.268 0.672
0.403 0.697 0.724
0.443 0.617 0.141
0.510 0.981 0.611
0.532 0.937 0.370
0.591 0.317 0.085
0.604 0.292 0.841
0.667 0.667 0.559
0.690 0.623 0.317
0.755 0.987 0.787
0.797 0.908 0.205
0.833 0.334 0.257
0.866 0.269 0.672
0.902 0.696 0.724
0.941 0.617 0.141
0.048 0.909 0.503
0.063 0.376 0.221
0.067 0.869 0.243
0.095 0.299 0.965
0.133 0.735 0.687
0.137 0.227 0.708
0.151 0.694 0.425
0.203 0.098 0.139
0.208 0.586 0.180
0.223 0.061 0.890
0.264 0.460 0.601
0.273 0.424 0.360
0.280 0.942 0.648
0.288 0.924 0.343
0.341 0.824 0.100
0.343 0.317 0.120
0.355 0.291 0.807
0.379 0.782 0.828
0.393 0.182 0.567
0.413 0.675 0.586
0.423 0.144 0.326
0.423 0.656 0.282
0.488 0.024 0.745
0.502 0.537 0.043
0.511 0.505 0.788
0.543 0.911 0.502
0.563 0.376 0.225
0.567 0.868 0.243
0.607 0.299 0.964
0.632 0.738 0.683
0.637 0.229 0.705
0.655 0.695 0.426
0.701 0.098 0.139
0.709 0.585 0.183
0.716 0.062 0.889
0.776 0.949 0.645
0.777 0.460 0.602
0.786 0.930 0.342
0.806 0.423 0.362
0.837 0.824 0.098
0.839 0.783 0.827
0.846 0.308 0.124
0.859 0.282 0.809
0.911 0.680 0.586
0.920 0.662 0.280
0.927 0.180 0.569
0.935 0.144 0.329
0.962 0.538 0.042
0.986 0.504 0.788
0.993 0.015 0.749
```

Calculated values
* E_tot: -699.209 eV for the cell shown
* space-group type: P1
* energy above the lowest structure with this stoichiometry: 0.00 eV/f.u.
* spin magnetization: 0.08 μB/f.u.
* energy relative to the elements, uncorrected: -2967 meV per atom


Density functional theory data (PBEsol) for crystalline Na5Ti3O8 at its relaxed geometry.

Cell and atoms, written as POSCAR:
```
Na5Ti3O8
1.0
3.045 1.758 5.355
-3.045 1.758 5.355
0.000 -3.516 5.355
Na Ti O
5 3 8
direct
0.000 0.000 0.000
0.000 0.500 0.500
0.500 0.000 0.500
0.500 0.500 0.000
0.500 0.500 0.500
0.000 0.000 0.500
0.000 0.500 0.000
0.500 0.000 0.000
0.203 0.749 0.749
0.236 0.236 0.236
0.251 0.251 0.797
0.251 0.797 0.251
0.749 0.203 0.749
0.749 0.749 0.203
0.764 0.764 0.764
0.797 0.251 0.251
```

Calculated values
* E_tot: -112.473 eV for the cell shown
* space-group type: R-3m
* spin magnetization: 0.83 μB/f.u.
* energy relative to the elements, uncorrected: -2407 meV per atom


Density functional theory data (PBEsol) for crystalline Na7Ti16O32 at its relaxed geometry.

Cell and atoms, written as POSCAR:
```
Na7Ti16O32
1.0
-4.296 4.296 8.591
4.296 -4.296 8.591
4.296 4.296 -8.591
Na Ti O
7 16 32
direct
0.000 0.000 0.000
0.128 0.624 0.000
0.250 0.750 0.500
0.376 0.376 0.504
0.624 0.128 0.000
0.750 0.250 0.500
0.872 0.872 0.496
0.061 0.311 0.000
0.070 0.317 0.509
0.190 0.190 0.752
0.193 0.683 0.753
0.311 0.061 0.000
0.317 0.070 0.509
0.438 0.438 0.248
0.439 0.930 0.247
0.561 0.807 0.491
0.562 0.810 0.000
0.683 0.193 0.753
0.689 0.689 0.751
0.807 0.561 0.491
0.810 0.562 0.000
0.930 0.439 0.247
0.939 0.939 0.249
0.033 0.535 0.213
0.051 0.553 0.712
0.074 0.074 0.290
0.089 0.089 0.786
0.159 0.447 0.498
0.180 0.967 0.502
0.195 0.409 0.000
0.216 0.926 0.000
0.289 0.289 0.719
0.303 0.303 0.214
0.322 0.820 0.787
0.339 0.841 0.288
0.409 0.195 0.000
0.430 0.711 0.000
0.447 0.159 0.498
0.465 0.678 0.498
0.535 0.033 0.213
0.553 0.051 0.712
0.570 0.570 0.281
0.591 0.591 0.786
0.661 0.949 0.502
0.678 0.465 0.498
0.697 0.911 0.000
0.711 0.430 0.000
0.784 0.784 0.710
0.805 0.805 0.214
0.820 0.322 0.787
0.841 0.339 0.288
0.911 0.697 0.000
0.926 0.216 0.000
0.949 0.661 0.502
0.967 0.180 0.502
```

Calculated values
* E_tot: -464.123 eV for the cell shown
* space-group type: I-42m
* spin magnetization: 0.01 μB/f.u.
* energy relative to the elements, uncorrected: -2785 meV per atom


Density functional theory data (PBEsol) for crystalline NaTlO at its relaxed geometry.

Cell and atoms, written as POSCAR:
```
NaTlO
1.0
6.066 0.000 0.000
0.000 3.514 0.000
-2.013 0.000 11.143
Na Tl O
4 4 4
direct
0.000 0.000 0.000
0.137 0.500 0.694
0.396 0.500 0.498
0.606 0.000 0.696
0.400 0.000 0.214
0.513 0.500 0.959
0.884 0.000 0.489
0.923 0.500 0.235
0.227 0.500 0.066
0.246 0.000 0.594
0.691 0.000 0.094
0.768 0.500 0.613
```

Calculated values
* E_tot: -47.737 eV for the cell shown
* space-group type: Pm
* energy above the lowest structure with this stoichiometry: 0.15 eV/f.u.
* spin magnetization: 0.00 μB/f.u.
* energy relative to the elements, uncorrected: -885 meV per atom


Density functional theory data (PBEsol) for crystalline NaTlO at its relaxed geometry.

Cell and atoms, written as POSCAR:
```
NaTlO
1.0
3.464 0.000 0.000
-1.732 3.000 0.000
0.000 0.000 11.405
Na Tl O
2 2 2
direct
0.333 0.667 0.000
0.667 0.333 0.500
0.333 0.667 0.277
0.667 0.333 0.777
0.000 0.000 0.401
0.000 0.000 0.901
```

Calculated values
* E_tot: -24.169 eV for the cell shown
* space-group type: P6_3mc
* energy above the lowest structure with this stoichiometry: 0.00 eV/f.u.
* spin magnetization: 0.00 μB/f.u.
* energy relative to the elements, uncorrected: -935 meV per atom


Density functional theory data (PBEsol) for crystalline NaTmO2 at its relaxed geometry.

Cell and atoms, written as POSCAR:
```
NaTmO2
1.0
-2.256 2.256 5.019
2.256 -2.256 5.019
2.256 2.256 -5.019
Na Tm O
2 2 4
direct
0.375 0.625 0.750
0.625 0.375 0.250
0.125 0.875 0.250
0.875 0.125 0.750
0.097 0.347 0.750
0.347 0.097 0.250
0.653 0.903 0.750
0.903 0.653 0.250
```

Calculated values
* E_tot: -56.715 eV for the cell shown
* space-group type: I4_1/amd
* energy above the lowest structure with this stoichiometry: 0.07 eV/f.u.
* spin magnetization: 0.00 μB/f.u.
* energy relative to the elements, uncorrected: -2890 meV per atom


Density functional theory data (PBEsol) for crystalline NaTmO2 at its relaxed geometry.

Cell and atoms, written as POSCAR:
```
NaTmO2
1.0
1.663 0.960 5.483
-1.663 0.960 5.483
0.000 -1.920 5.483
Na Tm O
1 1 2
direct
0.000 0.000 0.000
0.500 0.500 0.500
0.236 0.236 0.236
0.764 0.764 0.764
```

Calculated values
* E_tot: -28.424 eV for the cell shown
* space-group type: R-3m
* energy above the lowest structure with this stoichiometry: 0.00 eV/f.u.
* spin magnetization: 0.00 μB/f.u.
* energy relative to the elements, uncorrected: -2907 meV per atom


Density functional theory data (PBEsol) for crystalline NaTmO2 at its relaxed geometry.

Cell and atoms, written as POSCAR:
```
NaTmO2
1.0
3.265 -6.464 0.000
3.265 6.464 0.000
-3.137 0.000 4.877
Na Tm O
4 4 8
direct
0.056 0.944 0.750
0.180 0.820 0.250
0.820 0.180 0.750
0.944 0.056 0.250
0.307 0.693 0.750
0.433 0.567 0.250
0.567 0.433 0.750
0.693 0.307 0.250
0.083 0.459 0.291
0.233 0.360 0.793
0.360 0.233 0.293
0.459 0.083 0.791
0.541 0.917 0.209
0.640 0.767 0.707
0.767 0.640 0.207
0.917 0.541 0.709
```

Calculated values
* E_tot: -113.676 eV for the cell shown
* space-group type: C2/c
* energy above the lowest structure with this stoichiometry: 0.00 eV/f.u.
* spin magnetization: 0.00 μB/f.u.
* energy relative to the elements, uncorrected: -2905 meV per atom


Density functional theory data (PBEsol) for crystalline Na4UO5 at its relaxed geometry.

Cell and atoms, written as POSCAR:
```
Na4UO5
1.0
-3.777 3.777 2.298
3.777 -3.777 2.298
3.777 3.777 -2.298
Na U O
4 1 5
direct
0.099 0.304 0.404
0.304 0.901 0.205
0.696 0.099 0.795
0.901 0.696 0.596
0.500 0.500 0.000
0.000 0.000 0.000
0.244 0.578 0.822
0.422 0.244 0.666
0.578 0.756 0.334
0.756 0.422 0.178
```

Calculated values
* E_tot: -67.274 eV for the cell shown
* space-group type: I4/m
* spin magnetization: 0.00 μB/f.u.
* energy relative to the elements, uncorrected: -2327 meV per atom


Density functional theory data (PBEsol) for crystalline Na3VO3 at its relaxed geometry.

Cell and atoms, written as POSCAR:
```
Na3VO3
1.0
5.723 0.000 0.000
-0.464 5.828 0.000
-0.023 -2.531 5.819
Na V O
6 2 6
direct
0.065 0.233 0.449
0.153 0.241 0.976
0.423 0.719 0.755
0.577 0.281 0.245
0.847 0.759 0.024
0.935 0.767 0.551
0.375 0.804 0.300
0.625 0.196 0.700
0.237 0.916 0.117
0.247 0.538 0.350
0.315 0.042 0.614
0.685 0.958 0.386
0.753 0.462 0.650
0.763 0.084 0.883
```

Calculated values
* E_tot: -83.043 eV for the cell shown
* space-group type: P-1
* energy above the lowest structure with this stoichiometry: 0.12 eV/f.u.
* spin magnetization: 1.13 μB/f.u.
* energy relative to the elements, uncorrected: -1706 meV per atom


Density functional theory data (PBEsol) for crystalline Na3VO3 at its relaxed geometry.

Cell and atoms, written as POSCAR:
```
Na3VO3
1.0
7.736 -4.861 0.000
7.736 4.861 0.000
-1.712 0.000 6.260
Na V O
12 4 12
direct
0.138 0.156 0.818
0.156 0.138 0.318
0.160 0.840 0.750
0.215 0.785 0.250
0.268 0.447 0.916
0.447 0.268 0.416
0.553 0.732 0.584
0.732 0.553 0.084
0.785 0.215 0.750
0.840 0.160 0.250
0.844 0.862 0.682
0.862 0.844 0.182
0.088 0.514 0.374
0.486 0.912 0.126
0.514 0.088 0.874
0.912 0.486 0.626
0.001 0.083 0.001
0.057 0.591 0.652
0.083 0.001 0.501
0.249 0.518 0.279
0.409 0.943 0.848
0.482 0.751 0.221
0.518 0.249 0.779
0.591 0.057 0.152
0.751 0.482 0.721
0.917 0.999 0.499
0.943 0.409 0.348
0.999 0.917 0.999
```

Calculated values
* E_tot: -153.434 eV for the cell shown
* space-group type: C2/c
* energy above the lowest structure with this stoichiometry: 3.28 eV/f.u.
* spin magnetization: 1.05 μB/f.u.
* energy relative to the elements, uncorrected: -1254 meV per atom


Density functional theory data (PBEsol) for crystalline NaVO2 at its relaxed geometry.

Cell and atoms, written as POSCAR:
```
NaVO2
1.0
2.816 0.000 0.000
-1.408 2.439 0.000
0.000 0.000 5.686
Na V O
1 1 2
direct
0.000 0.000 0.000
0.000 0.000 0.500
0.333 0.667 0.292
0.667 0.333 0.708
```

Calculated values
* E_tot: -29.615 eV for the cell shown
* space-group type: P-3m1
* spin magnetization: 0.38 μB/f.u.
* energy relative to the elements, uncorrected: -2020 meV per atom


- Look up the energy relative to the elements, uncorrected of the eighth one.
  -2905 meV per atom